VH20S2N2O14 | Alexandria | SCAN | single point on PBEsol structure; DFT total energy = -6.580 eV per atom; spin magnetization = 0.08 μB/atom
1.0
6.2594 0.0000 0.0000
0.0000 12.2915 0.0000
-2.6575 0.0000 8.6924
V H S N O
2 40 4 4 28
direct
0.0000 0.0000 0.0000 V
0.0000 0.5000 0.5000 V
0.0114 0.1938 0.1436 H
0.0114 0.3062 0.6436 H
0.0660 0.1001 0.2716 H
0.0660 0.3999 0.7716 H
0.0946 0.6192 0.7610 H
0.0946 0.8808 0.2610 H
0.1874 0.6718 0.0680 H
0.1874 0.8282 0.5680 H
0.3262 0.5853 0.7281 H
0.3262 0.9147 0.2281 H
0.3291 0.1497 0.0218 H
0.3291 0.3503 0.5218 H
0.3442 0.0601 0.8988 H
0.3442 0.4399 0.3988 H
0.3750 0.5795 0.1696 H
0.3750 0.9205 0.6696 H
0.3895 0.7113 0.2314 H
0.3895 0.7887 0.7314 H
0.4536 0.6814 0.0660 H
0.4536 0.8186 0.5661 H
0.5464 0.1814 0.4340 H
0.5464 0.3186 0.9340 H
0.6105 0.2113 0.2686 H
0.6105 0.2887 0.7686 H
0.6250 0.0795 0.3304 H
0.6250 0.4205 0.8304 H
0.6558 0.5601 0.6012 H
0.6558 0.9399 0.1012 H
0.6709 0.6497 0.4782 H
0.6709 0.8503 0.9782 H
0.6738 0.0853 0.7719 H
0.6738 0.4147 0.2719 H
0.8126 0.1718 0.4320 H
0.8126 0.3282 0.9320 H
0.9054 0.1192 0.7390 H
0.9054 0.3808 0.2390 H
0.9340 0.6001 0.2284 H
0.9340 0.8999 0.7284 H
0.9886 0.6938 0.3564 H
0.9886 0.8062 0.8564 H
0.2656 0.1291 0.5864 S
0.2656 0.3709 0.0864 S
0.7344 0.6291 0.9136 S
0.7344 0.8709 0.4136 S
0.3519 0.6613 0.1353 N
0.3519 0.8387 0.6353 N
0.6481 0.1613 0.3647 N
0.6481 0.3387 0.8647 N
0.0269 0.6177 0.3359 O
0.0269 0.8823 0.8359 O
0.0570 0.1724 0.6132 O
0.0570 0.3276 0.1132 O
0.1679 0.6074 0.6790 O
0.1679 0.8926 0.1790 O
0.2140 0.0641 0.4448 O
0.2140 0.4359 0.9448 O
0.3024 0.0712 0.9953 O
0.3024 0.4288 0.4953 O
0.3887 0.0597 0.7197 O
0.3887 0.4403 0.2197 O
0.4149 0.2225 0.5766 O
0.4149 0.2775 0.0766 O
0.5851 0.7225 0.9234 O
0.5851 0.7775 0.4234 O
0.6113 0.5597 0.7803 O
0.6113 0.9403 0.2803 O
0.6976 0.5712 0.5047 O
0.6976 0.9288 0.0047 O
0.7860 0.5641 0.0552 O
0.7860 0.9359 0.5552 O
0.8321 0.1074 0.8210 O
0.8321 0.3926 0.3210 O
0.9430 0.6724 0.8868 O
0.9430 0.8276 0.3868 O
0.9731 0.1177 0.1641 O
0.9731 0.3823 0.6641 O